Y2BeO | PBE | relaxed

```
data_Y2BeO
_chemical_formula_sum 'Y6 Be3 O3'
_symmetry_space_group_name_H-M 'R -3 m'
_symmetry_Int_Tables_number 166
_symmetry_space_group_name_Hall '-R 3 2"'
_cell_length_a 3.4587
_cell_length_b 3.4587
_cell_length_c 24.9335
_cell_angle_alpha 90.00
_cell_angle_beta 90.00
_cell_angle_gamma 120.00
loop_
_atom_site_label
_atom_site_fract_x
_atom_site_fract_y
_atom_site_fract_z
Y1 0.0000 0.0000 0.1135
Be1 0.0000 0.0000 0.0000
O1 0.0000 0.0000 0.5000
```

Calculated values
The value obtained for the formation energy (no corrections) is -64 kJ/mol of atoms. As for the energy above the most stable polymorph in this dataset: 471 meV/atom. For the energy, the calculation gives -72.74 eV/cell.